A relaxed structure of ZrVIO2, computed with PBE+U.

Summary:
Its energy is -30.12 eV per cell. The density of states at the Fermi level is 0.56 states/eV per atom. The value obtained for the energy above the lowest structure with this stoichiometry is 346.7 meV per atom.

Cell: 4.037 4.037 5.303 Å, 90.00 90.00 90.00°
Last column: magnetic moment on the atom in μB.
Element x y z (fractional)
1 Zr 0.500 0.500 0.500  0.13
2 V 0.000 0.000 0.000  -1.87
3 O 0.000 0.500 0.000  0.00
4 O 0.500 0.000 0.000  0.00
5 I 0.000 0.000 0.500  0.01